Record 1
HfV3Si: optimized geometry, PBE.

The space-group type is No. 221. For the uncorrected formation energy, the calculation gives 40.19 kcal/mol of atoms. The calculation puts the relative energy among the computed polymorphs at 2.021 eV/atom.

a b c (Å): 4.592 4.592 4.592
angles (deg): 90.00 90.00 90.00
Element x y z (fractional)
Si (0.500, 0.500, 0.500)
Hf (0.000, 0.000, 0.000)
V (0.000, 0.500, 0.000)
V (0.000, 0.000, 0.500)
V (0.500, 0.000, 0.000)

=====

Record 2
HfVSi3: optimized geometry, PBE.

The space-group type is No. 221. For the uncorrected formation energy, the calculation gives 9.14 kcal/mol of atoms.

a b c (Å): 4.471 4.471 4.471
angles (deg): 90.00 90.00 90.00
Element x y z (fractional)
Si (0.000, 0.500, 0.000)
Si (0.000, 0.000, 0.500)
Si (0.500, 0.000, 0.000)
Hf (0.500, 0.500, 0.500)
V (0.000, 0.000, 0.000)

=====

Record 3
Hf2VSi2: optimized geometry, PBE.

The space-group type is No. 123. For the uncorrected formation energy, the calculation gives 18.00 kcal/mol of atoms. The calculation puts the relative energy among the computed polymorphs at 1.510 eV/atom.

a b c (Å): 2.743 2.743 13.143
angles (deg): 90.00 90.00 90.00
Element x y z (fractional)
Hf (0.500, 0.500, 0.617)
Hf (0.500, 0.500, 0.383)
V (0.500, 0.500, 0.000)
Si (0.500, 0.500, 0.183)
Si (0.500, 0.500, 0.817)

=====

Record 4
HfV3Si: optimized geometry, PBE.

The space-group type is No. 62. For the uncorrected formation energy, the calculation gives -6.42 kcal/mol of atoms. The calculation puts the relative energy among the computed polymorphs at 0.000 eV/atom.

a b c (Å): 3.282 8.424 11.165
angles (deg): 90.00 90.00 90.00
Element x y z (fractional)
Hf (0.750, 0.838, 0.993)
Hf (0.250, 0.662, 0.493)
Hf (0.750, 0.338, 0.507)
Hf (0.250, 0.162, 0.007)
V (0.250, 0.564, 0.088)
V (0.750, 0.436, 0.912)
V (0.250, 0.064, 0.412)
V (0.750, 0.936, 0.588)
V (0.250, 0.406, 0.733)
V (0.750, 0.094, 0.233)
V (0.250, 0.906, 0.767)
V (0.750, 0.655, 0.709)
V (0.250, 0.345, 0.291)
V (0.750, 0.155, 0.791)
V (0.750, 0.594, 0.267)
V (0.250, 0.845, 0.209)
Si (0.250, 0.145, 0.629)
Si (0.250, 0.645, 0.871)
Si (0.750, 0.355, 0.129)
Si (0.750, 0.855, 0.371)

=====

Record 5
Hf2V3Si4: optimized geometry, PBE.

The space-group type is No. 14. For the uncorrected formation energy, the calculation gives -17.65 kcal/mol of atoms.

a b c (Å): 6.482 6.609 6.601
angles (deg): 90.00 90.00 109.57
Element x y z (fractional)
Hf (0.559, 0.189, 0.330)
Hf (0.941, 0.811, 0.830)
Hf (0.441, 0.811, 0.670)
Hf (0.059, 0.189, 0.170)
V (0.000, 0.500, 0.500)
V (0.500, 0.500, 0.000)
V (0.747, 0.252, 0.829)
V (0.753, 0.748, 0.329)
V (0.253, 0.748, 0.171)
V (0.247, 0.252, 0.671)
Si (0.859, 0.082, 0.541)
Si (0.641, 0.918, 0.041)
Si (0.141, 0.918, 0.459)
Si (0.359, 0.082, 0.959)
Si (0.869, 0.498, 0.129)
Si (0.631, 0.502, 0.629)
Si (0.131, 0.502, 0.871)
Si (0.369, 0.498, 0.371)

=====

Record 6
HfVSi: optimized geometry, PBE.

The space-group type is No. 187. For the uncorrected formation energy, the calculation gives -4.14 kcal/mol of atoms.

a b c (Å): 3.226 4.251 4.251
angles (deg): 120.00 90.00 90.00
Element x y z (fractional)
Si (0.166, 0.000, 0.000)
Hf (0.667, 0.333, 0.667)
V (0.167, 0.667, 0.333)

=====

> Number 6 is which compound?

HfVSi